Here is a geometry-optimized KPa2TaS8 structure from the Alexandria database. Energies are from GGA-PBE.

Cell and atoms, written as extended XYZ:
```
12
Lattice="5.940 0.000 0.000 0.000 8.338 0.000 -0.153 0.000 6.328" Properties=species:S:1:pos:R:3 pbc="T T T"
K 0.000 0.000 0.000
Pa 2.894 2.088 3.164
Pa 2.894 6.250 3.164
Ta 0.000 4.169 0.000
S 1.379 2.494 1.054
S 1.379 5.843 1.054
S 1.458 4.169 4.274
S 1.506 0.000 3.893
S 4.281 0.000 2.435
S 4.329 4.169 2.053
S 4.408 2.494 5.274
S 4.408 5.843 5.274
```

Values from the calculation:
M_tot	0.00	μB per formula unit
symmetry	P2/m
energy relative to the elements, uncorrected	-1.200	eV per atom

---

Here is a geometry-optimized Cs3OsF8 structure from the Alexandria database. Energies are from GGA-PBE.

Cell and atoms, written as extended XYZ:
```
24
Lattice="8.834 0.000 0.000 -4.417 7.650 0.000 0.000 0.000 7.510" Properties=species:S:1:pos:R:3 pbc="T T T"
Cs 0.000 2.406 0.000
Cs -2.333 6.447 0.000
Cs 2.084 1.203 3.755
Cs 2.333 6.447 0.000
Cs 6.750 1.203 3.755
Cs 4.417 5.244 3.755
Os 0.000 5.100 4.161
Os 4.417 2.550 0.406
F 0.000 0.000 1.865
F 0.000 0.000 5.620
F -1.646 4.150 4.765
F 0.000 3.563 2.950
F -1.331 5.869 2.950
F 0.000 5.100 6.145
F 1.646 4.150 4.765
F 0.000 7.000 4.765
F 3.085 1.781 6.705
F 1.331 5.869 2.950
F 4.417 0.650 1.010
F 2.771 3.500 1.010
F 4.417 2.550 2.390
F 5.748 1.781 6.705
F 4.417 4.087 6.705
F 6.063 3.500 1.010
```

Values from the calculation:
M_tot	1.00	μB per formula unit
symmetry	P6_3mc
energy relative to the elements, uncorrected	-2.289	eV per atom

---

Here is a geometry-optimized Tb3Pm2Sm4 structure from the Alexandria database. Energies are from GGA-PBE.

Cell and atoms, written as extended XYZ:
```
9
Lattice="3.627 0.000 0.000 -1.813 3.141 0.000 0.000 0.000 26.776" Properties=species:S:1:pos:R:3 pbc="T T T"
Tb 0.000 0.000 0.000
Tb 0.000 0.000 9.177
Tb 1.813 1.047 17.958
Pm 1.813 1.047 2.834
Pm 1.813 1.047 23.821
Sm 0.000 0.000 15.052
Sm 0.000 0.000 20.860
Sm 1.813 1.047 6.359
Sm 1.813 1.047 12.112
```

Values from the calculation:
M_tot	0.01	μB per formula unit
symmetry	P3m1
polymorph energy (0 for the lowest one)	0.041	eV/atom
energy of formation from the pure elements	0.0546	eV/atom

---

Here is a geometry-optimized Sr2TbSn3Pd4 structure from the Alexandria database. Energies are from GGA-PBE.

Cell and atoms, written as extended XYZ:
```
10
Lattice="4.665 0.000 0.000 0.000 4.665 0.000 0.000 0.000 11.285" Properties=species:S:1:pos:R:3 pbc="T T T"
Sr 0.000 2.332 2.584
Sr 2.332 0.000 8.701
Tb 0.000 0.000 5.642
Sn 0.000 2.332 9.938
Sn 2.332 0.000 1.347
Sn 2.332 2.332 5.642
Pd 0.000 0.000 0.000
Pd 0.000 2.332 7.275
Pd 2.332 0.000 4.010
Pd 2.332 2.332 0.000
```

Values from the calculation:
M_tot	0.00	μB per formula unit
symmetry	P-4m2
energy of formation from the pure elements	-0.7729	eV/atom

---

Here is a geometry-optimized V5GaCo8 structure from the Alexandria database. Energies are from GGA-PBE.

Cell and atoms, written as extended XYZ:
```
14
Lattice="-3.320 3.320 3.906 3.320 -3.320 3.906 3.320 3.320 -3.906" Properties=species:S:1:pos:R:3 pbc="T T T"
V 0.000 0.000 0.000
V 1.750 2.366 -0.466
V 4.275 1.750 0.466
V 1.571 0.954 3.440
V -0.954 1.571 4.372
Ga 0.000 3.320 1.953
Co 4.559 -0.521 1.070
Co 3.797 2.260 -1.813
Co 2.799 -1.239 2.836
Co 2.082 0.521 1.070
Co -0.476 1.060 2.093
Co 3.842 1.239 2.836
Co 2.260 2.844 1.813
Co 1.060 0.476 5.719
```

Values from the calculation:
M_tot	0.00	μB per formula unit
symmetry	I-4
energy of formation from the pure elements	0.0576	eV/atom